Computed, not measured: an optimized crystal structure of Cr2CoSi at the GGA-PBEsol level of DFT.

a = 2.9066 Å, b = 3.7414 Å, c = 4.0080 Å
α = 90.00°, β = 90.00°, γ = 90.00°
Last column: nearest neighbours and their distance in Å.
Fractional positions:
Cr  0.0000  0.0000  0.0000  4 Cr 2.37, 4 Si 2.48
Cr  0.5000  0.5000  0.0000  4 Cr 2.37, 4 Co 2.48
Co  0.0000  0.5000  0.5000  4 Si 2.37, 4 Cr 2.48
Si  0.5000  0.0000  0.5000  4 Co 2.37, 4 Cr 2.48

Computed properties:
Space-group type: Pmmm, No. 47
Energy relative to the elements, uncorrected in eV/atom: -0.299
Density of states at the Fermi level in states/eV/f.u.: 1.96
Spin magnetization in μB per formula unit: 0.90